Entry 1:
This record from the Alexandria database describes CoAsBr2F after structural relaxation. The functional is PBE with a Hubbard U.

Calculated values
Polymorph energy (0 for the lowest one)   0.119 eV/atom
Calculated total energy   -13.4 eV for the cell shown

Cell: 5.5606 5.5606 3.8668 Å, 90.00 90.00 90.00°
Sites, in units of the cell vectors:
Co1 0.0000 0.0000 0.0000
As1 0.5000 0.5000 0.0000
Br1 0.0000 0.5000 0.5000
Br2 0.5000 0.0000 0.5000
F1 0.5000 0.5000 0.5000

---

Entry 2:
This record from the Alexandria database describes CoAsBr2F after structural relaxation. The functional is PBE with a Hubbard U.

Calculated values
Polymorph energy (0 for the lowest one)   0.000 eV/atom
Calculated total energy   -14.0 eV for the cell shown

Cell: 4.8581 4.8581 4.6407 Å, 90.00 90.00 90.00°
Sites, in units of the cell vectors:
Co1 0.0000 0.0000 0.0000
As1 0.0000 0.0000 0.5000
Br1 0.0000 0.5000 0.0000
Br2 0.5000 0.0000 0.0000
F1 0.5000 0.5000 0.5000